Compound: RbCaNbCu2
Source: Alexandria
Functional: PBEsol
Structure: optimized geometry

Cell lengths 4.894, 4.894, 5.355 Å; angles 90.00, 90.00, 90.00 degrees
Fractional coordinates of all 5 atoms:
Cu (0.000, 0.500, 0.000)
Rb (0.000, 0.000, 0.500)
Cu (0.500, 0.000, 0.000)
Nb (0.000, 0.000, 0.000)
Ca (0.500, 0.500, 0.500)

Calculated values
SG = P4/mmm (123)
Calculated density = 4.47 Mg/m³
Energy of formation from the pure elements = 1208 meV/atom

---

Compound: B3OsAu
Source: Alexandria
Functional: PBEsol
Structure: optimized geometry

Cell lengths 4.078, 4.078, 4.078 Å; angles 90.00, 90.00, 90.00 degrees
Fractional coordinates of all 5 atoms:
Au (0.500, 0.500, 0.500)
B (0.000, 0.500, 0.000)
Os (0.000, 0.000, 0.000)
B (0.500, 0.000, 0.000)
B (0.000, 0.000, 0.500)

Calculated values
SG = Pm-3m (221)
Calculated density = 10.27 Mg/m³
Energy of formation from the pure elements = 1159 meV/atom

---

Compound: Fe2CoSi
Source: Alexandria
Functional: PBEsol
Structure: optimized geometry

Cell lengths 2.519, 3.524, 4.800 Å; angles 90.00, 90.05, 90.00 degrees
Last column: magnetic moment on the atom in μB.
Fractional coordinates of all 4 atoms:
Co (0.500, 0.500, 0.500)  1.24
Fe (0.000, 0.000, 0.249)  1.88
Fe (0.000, 0.000, 0.751)  1.88
Si (0.500, 0.500, 0.000)  -0.07

Calculated values
SG = Pmmm (47)
Calculated density = 7.74 Mg/m³
Formation energy (no corrections) = -0.242 eV per atom

---

Compound: KYCo3
Source: Alexandria
Functional: PBEsol
Structure: optimized geometry

Cell lengths 4.863, 4.863, 4.863 Å; angles 90.00, 90.00, 90.00 degrees
Last column: magnetic moment on the atom in μB.
Fractional coordinates of all 5 atoms:
Co (0.000, 0.000, 0.500)  1.25
K (0.500, 0.500, 0.500)  -0.01
Co (0.500, 0.000, 0.000)  1.25
Co (0.000, 0.500, 0.000)  1.25
Y (0.000, 0.000, 0.000)  -0.29

Calculated values
SG = Pm-3m (221)
Calculated density = 4.40 Mg/m³
Energy of formation from the pure elements = 1644 meV/atom

---

Compound: Mn2AlNiC
Source: Alexandria
Functional: PBEsol
Structure: optimized geometry

Cell lengths 3.753, 3.753, 3.770 Å; angles 90.00, 90.00, 90.00 degrees
Last column: magnetic moment on the atom in μB.
Fractional coordinates of all 5 atoms:
Mn (0.000, 0.500, 0.000)  1.61
Ni (0.000, 0.000, 0.500)  0.09
Mn (0.500, 0.000, 0.000)  1.61
C (0.000, 0.000, 0.000)  -0.10
Al (0.500, 0.500, 0.500)  -0.05

Calculated values
SG = P4/mmm (123)
Calculated density = 6.49 Mg/m³
Energy of formation from the pure elements = -204 meV/atom

---

Compound: SrMn4Al
Source: Alexandria
Functional: PBEsol
Structure: optimized geometry

Cell lengths 4.923, 4.923, 4.923 Å; angles 60.00, 60.00, 60.00 degrees
Fractional coordinates of all 6 atoms:
Sr (0.750, 0.750, 0.750)
Al (0.000, 0.000, 0.000)
Mn (0.373, 0.373, 0.881)
Mn (0.373, 0.881, 0.373)
Mn (0.373, 0.373, 0.373)
Mn (0.881, 0.373, 0.373)

Calculated values
SG = F-43m (216)
Calculated density = 6.58 Mg/m³
Energy of formation from the pure elements = 571 meV/atom